(1)
First-principles (PBE) data for a relaxed CoNiSe crystal, as listed in the Alexandria database.

The energy relative to the elements, uncorrected comes out at 145 meV/atom. As for the volume: 13.2 Å³/atom. The value obtained for the density of states at the Fermi level is 1.9 states/eV per cell. As for the energy above the most stable polymorph in this dataset: 167 meV/atom. The total magnetization comes out at 0.000 μB per formula unit. The total energy is -5.312 eV per atom.

The structure belongs to space group P3m1 (No. 156); the cell edges are 3.8317, 3.8317 and 3.1122 Å and the angles 90.00°, 90.00° and 120.00°. The distinct sites, in fractional coordinates, are Co at (0.0000, 0.0000, 0.0000), Ni at (0.6667, 0.3333, 0.4991) and Se at (0.3333, 0.6667, 0.9103).

---

(2)
First-principles (PBE) data for a relaxed CoNi2Se6 crystal, as listed in the Alexandria database.

The energy relative to the elements, uncorrected comes out at -66 meV/atom. As for the volume: 19.0 Å³/atom. The value obtained for the density of states at the Fermi level is 20.6 states/eV per cell. As for the energy above the most stable polymorph in this dataset: 211 meV/atom. The total magnetization comes out at 1.831 μB per formula unit. The total energy is -4.463 eV per atom.

The structure belongs to space group P4_2/mnm (No. 136); the cell edges are 5.547, 5.547 and 11.112 Å and the angles 90.00°, 90.00° and 90.00°. The distinct sites, in fractional coordinates, are Co at (0.000, 0.000, 0.000), Ni at (0.000, 0.000, 0.332), Se at (0.192, 0.192, 0.164) and Se at (0.194, 0.194, 0.500).

---

(3)
First-principles (PBE) data for a relaxed Co3Ni2Se8 crystal, as listed in the Alexandria database.

The energy relative to the elements, uncorrected comes out at -268 meV/atom. As for the volume: 18.0 Å³/atom. The value obtained for the density of states at the Fermi level is 18.4 states/eV per cell. The total magnetization comes out at 0.000 μB per formula unit. The total energy is -4.942 eV per atom.

The structure belongs to space group P6_3mc (No. 186); the cell edges are 7.0111, 7.0111 and 10.9691 Å and the angles 90.00°, 90.00° and 120.00°. The distinct sites, in fractional coordinates, are Co at (0.1655, 0.3311, 0.0000), Ni at (0.3333, 0.6667, 0.2871), Ni at (0.3333, 0.6667, 0.6857), Se at (0.0000, 0.0000, 0.1155), Se at (0.0281, 0.5140, 0.1271), Se at (0.1556, 0.3112, 0.3806) and Se at (0.3333, 0.6667, 0.8924).

---

(4)
First-principles (PBE) data for a relaxed CoNiSe2 crystal, as listed in the Alexandria database.

The energy relative to the elements, uncorrected comes out at -16 meV/atom. As for the volume: 19.9 Å³/atom. The value obtained for the density of states at the Fermi level is 6.6 states/eV per cell. As for the energy above the most stable polymorph in this dataset: 239 meV/atom. The total magnetization comes out at 0.646 μB per formula unit. The total energy is -4.980 eV per atom.

The structure belongs to space group P2/m (No. 10); the cell edges are 4.868, 3.258 and 5.017 Å and the angles 90.00°, 90.31° and 90.00°. The distinct sites, in fractional coordinates, are Co at (0.000, 0.000, 0.000), Ni at (0.000, 0.000, 0.500) and Se at (0.239, 0.500, 0.755).

---

What did the third record say?
First-principles (PBE) data for a relaxed Co3Ni2Se8 crystal, as listed in the Alexandria database.

The energy relative to the elements, uncorrected comes out at -268 meV/atom. As for the volume: 18.0 Å³/atom. The value obtained for the density of states at the Fermi level is 18.4 states/eV per cell. The total magnetization comes out at 0.000 μB per formula unit. The total energy is -4.942 eV per atom.

The structure belongs to space group P6_3mc (No. 186); the cell edges are 7.0111, 7.0111 and 10.9691 Å and the angles 90.00°, 90.00° and 120.00°. The distinct sites, in fractional coordinates, are Co at (0.1655, 0.3311, 0.0000), Ni at (0.3333, 0.6667, 0.2871), Ni at (0.3333, 0.6667, 0.6857), Se at (0.0000, 0.0000, 0.1155), Se at (0.0281, 0.5140, 0.1271), Se at (0.1556, 0.3112, 0.3806) and Se at (0.3333, 0.6667, 0.8924).

---

- Which value of energy relative to the elements, uncorrected does entry 2 give?
  -66 meV/atom